Pm2PrEr4Sc: relaxed, PBE.

Results
M_tot = 2.52 μB/cell
N(E_F) = 36.2 states/eV/cell
Formation energy = 0.4171 eV per atom
Space group = No. 74

Cell: 9.411 9.411 11.707 Å, 128.47 128.47 88.25°
Site moments in Bohr magnetons follow the coordinates.
Sites, in units of the cell vectors:
Pm1 0.500 0.000 0.000  -0.06
Er1 0.250 0.250 0.485  -0.10
Pm2 0.500 0.000 0.500  -0.06
Pm3 0.000 0.000 0.500  -0.14
Sc1 0.000 0.000 0.000  -0.14
Er2 0.264 0.737 0.500  -0.14
Er3 0.736 0.263 0.500  -0.15
Er4 0.250 0.250 0.015  -0.10
Pr1 0.000 0.500 0.000  -0.07
Er5 0.750 0.750 0.985  -0.10
Pm4 0.500 0.500 0.000  -0.14
Er6 0.750 0.750 0.515  -0.10
Er7 0.763 0.236 0.000  -0.14
Sc2 0.500 0.500 0.500  -0.14
Er8 0.237 0.764 0.000  -0.15
Pr2 0.000 0.500 0.500  -0.07